VASP calculation (PBE) on a geometry-optimized SrLi2Ca2Sn2 structure.

Lattice parameters (Å, degrees): 5.0348 5.0348 9.8207 75.15 75.15 60.00
Element x y z (fractional)
Sn 0.2528 0.2528 0.2416
Sn 0.7472 0.7472 0.7584
Li 0.5941 0.5941 0.2177
Li 0.4059 0.4059 0.7823
Ca 0.8702 0.8702 0.3895
Ca 0.1298 0.1298 0.6105
Sr 0.0000 0.0000 0.0000

**Formation enthalpy at 0 K**: -541.6 meV per atom
**N(E_F)**: 0.4 states/eV/f.u.
**VASP energy**: -3.04 eV per atom